A relaxed structure of Li2MnIn, computed with PBE.

Unit cell a=5.0955 b=5.0955 c=4.9245 alpha=81.96 beta=81.96 gamma=33.52
Last column: nearest neighbours and their distance in Å.
Fractional coordinates of all 4 atoms:
Mn: 0.2500 0.2500 0.2500  4 In 2.87, 6 Li 2.87-2.95, 2 Mn 2.94
Li: 0.5003 0.5003 0.4933  6 Li 2.81-2.94, 3 Mn 2.87-2.95, 3 In 2.90-2.97
In: 0.7500 0.7500 0.7500  4 Mn 2.87, 6 Li 2.90-2.97, 2 In 2.94
Li: 0.9997 0.9997 0.0067  6 Li 2.81-2.94, 3 Mn 2.87-2.95, 3 In 2.90-2.97

Calculated values
The density comes out at 4.36 Mg/m³. The calculation puts the magnetization at 3.479 μB/cell. The calculation puts the density of states at the Fermi level at 2.20 states/eV/cell. For the formation energy, the calculation gives 0.07 eV/atom.